# 1
# Rb2PSeCl6 PBE-GGA optimized geometry
data_Rb2PSeCl6
_chemical_formula_sum 'Rb2 P1 Se1 Cl6'
_cell_length_a 7.8704
_cell_length_b 7.8704
_cell_length_c 7.1865
_cell_angle_alpha 56.80
_cell_angle_beta 56.80
_cell_angle_gamma 90.00
_space_group_name_H-M_alt 'P 1'
_space_group_IT_number 1
_space_group_name_Hall 'P 1'
loop_
_atom_site_label
_atom_site_type_symbol
_atom_site_fract_x
_atom_site_fract_y
_atom_site_fract_z
P1 P 0.5000 0.5000 0.0000
Se1 Se 0.0000 0.0000 0.0000
Rb1 Rb 0.7500 0.2500 0.5000
Rb2 Rb 0.2500 0.7500 0.5000
Cl1 Cl 0.2569 0.2569 0.4863
Cl2 Cl 0.7431 0.7431 0.5137
Cl3 Cl 0.2847 0.2847 0.0000
Cl4 Cl 0.7153 0.7153 0.0000
Cl5 Cl 0.7153 0.2847 0.0000
Cl6 Cl 0.2847 0.7153 0.0000
# Crystal system: tetragonal
# Volume in Å³/cell: 281.7
# Raw formation energy in meV per atom: -843.2
# Space-group type: No. 139
# Calculated density in g/cm3: 2.910
# Final energy in eV per atom: -3.034
# Spin magnetization in μB/atom: 0.100

***

# 2
# RbPSeCl2 PBE-GGA optimized geometry
data_RbPSeCl2
_chemical_formula_sum 'Rb1 P1 Se1 Cl2'
_cell_length_a 5.6214
_cell_length_b 5.6214
_cell_length_c 4.7321
_cell_angle_alpha 90.00
_cell_angle_beta 90.00
_cell_angle_gamma 90.00
_space_group_name_H-M_alt 'P 1'
_space_group_IT_number 1
_space_group_name_Hall 'P 1'
loop_
_atom_site_label
_atom_site_type_symbol
_atom_site_fract_x
_atom_site_fract_y
_atom_site_fract_z
P1 P 0.0000 0.0000 0.5000
Se1 Se 0.0000 0.0000 0.0000
Rb1 Rb 0.5000 0.5000 0.5000
Cl1 Cl 0.0000 0.5000 0.0000
Cl2 Cl 0.5000 0.0000 0.0000
# Crystal system: tetragonal
# Volume in Å³/cell: 149.5
# Raw formation energy in meV per atom: -340.7
# Space-group type: No. 123
# Calculated density in g/cm3: 2.957
# Final energy in eV per atom: -3.052
# Spin magnetization in μB/atom: 0.000

***

# 3
# RbPSeCl2 PBE-GGA optimized geometry
data_RbPSeCl2
_chemical_formula_sum 'Rb1 P1 Se1 Cl2'
_cell_length_a 6.0769
_cell_length_b 6.0769
_cell_length_c 6.9703
_cell_angle_alpha 90.00
_cell_angle_beta 90.00
_cell_angle_gamma 90.00
_space_group_name_H-M_alt 'P 1'
_space_group_IT_number 1
_space_group_name_Hall 'P 1'
loop_
_atom_site_label
_atom_site_type_symbol
_atom_site_fract_x
_atom_site_fract_y
_atom_site_fract_z
P1 P 0.0000 0.0000 0.5000
Se1 Se 0.5000 0.5000 0.5000
Rb1 Rb 0.0000 0.0000 0.0000
Cl1 Cl 0.0000 0.5000 0.0000
Cl2 Cl 0.5000 0.0000 0.0000
# Crystal system: tetragonal
# Volume in Å³/cell: 257.4
# Raw formation energy in meV per atom: 645.6
# Space-group type: No. 123
# Calculated density in g/cm3: 1.718
# Final energy in eV per atom: -2.065
# Spin magnetization in μB/atom: 0.208